# 1
Material: CrBiSCl2
Method: DFT, PBE-GGA
State: relaxed

a b c (Å): 4.7331 4.7331 4.9424
angles (deg): 90.00 90.00 90.00
Element x y z (fractional)
Cr 0.0000 0.0000 0.0000
Bi 0.5000 0.5000 0.5000
S 0.0000 0.0000 0.5000
Cl 0.0000 0.5000 0.0000
Cl 0.5000 0.0000 0.0000

ΔE to the lowest computed polymorph   0.0 meV per atom
Total magnetization   3.80 μB per formula unit
Raw formation energy   -322.3 meV/atom

# 2
Material: MgSc2VH
Method: DFT, PBE-GGA
State: relaxed

a b c (Å): 4.8099 4.8099 3.6707
angles (deg): 90.00 90.00 90.00
Element x y z (fractional)
Mg 0.0000 0.0000 0.0000
Sc 0.0000 0.5000 0.5000
Sc 0.5000 0.0000 0.5000
V 0.5000 0.5000 0.0000
H 0.5000 0.5000 0.5000

Total DFT energy (no corrections)   -5.3625 eV per atom
Total magnetization   3.14 μB per formula unit

# 3
Material: TiCdPb2
Method: DFT, PBE-GGA
State: relaxed

a b c (Å): 5.4085 5.4085 3.2999
angles (deg): 90.00 90.00 90.00
Element x y z (fractional)
Ti 0.0000 0.0000 0.0000
Cd 0.5000 0.5000 0.0000
Pb 0.0000 0.5000 0.5000
Pb 0.5000 0.0000 0.5000

Total magnetization   0.00 μB per formula unit
ΔH_f (0 K)   170.9 meV per atom

# 4
Material: Cs2BeInCl6
Method: DFT, PBE-GGA
State: relaxed

a b c (Å): 7.3818 7.3818 7.3818
angles (deg): 121.70 121.70 87.08
Element x y z (fractional)
Cs 0.2500 0.7500 0.5000
Cs 0.7500 0.2500 0.5000
Be 0.0000 0.0000 0.0000
In 0.5000 0.5000 0.0000
Cl 0.2210 0.2210 0.4419
Cl 0.2210 0.7790 0.0000
Cl 0.2483 0.2483 0.0000
Cl 0.7517 0.7517 0.0000
Cl 0.7790 0.2210 0.0000
Cl 0.7790 0.7790 0.5581

Total magnetization   0.00 μB per formula unit
Raw formation energy   -1377.8 meV/atom

# 5
Material: V2HBr
Method: DFT, PBE-GGA
State: relaxed

a b c (Å): 6.0367 6.0367 6.0367
angles (deg): 134.67 134.67 66.04
Element x y z (fractional)
V 0.3750 0.2108 0.3358
V 0.7892 0.1250 0.1642
V 0.8750 0.0392 0.6642
V 0.9608 0.6250 0.8358
H 0.0000 0.0000 0.0000
H 0.7500 0.2500 0.5000
Br 0.2500 0.7500 0.5000
Br 0.5000 0.5000 0.0000

ΔE to the lowest computed polymorph   0.0 meV per atom
Total magnetization   0.00 μB per formula unit

# 6
Material: CaY2BiPt
Method: DFT, PBE-GGA
State: relaxed

a b c (Å): 5.7171 5.7171 5.6625
angles (deg): 90.00 90.00 90.00
Element x y z (fractional)
Ca 0.0000 0.0000 0.0000
Y 0.0000 0.5000 0.5000
Y 0.5000 0.0000 0.5000
Bi 0.0000 0.0000 0.5000
Pt 0.5000 0.5000 0.0000

Total magnetization   0.00 μB per formula unit
ΔH_f (0 K)   384.7 meV per atom

# 7
Material: K2MoRh
Method: DFT, PBE-GGA
State: relaxed

a b c (Å): 8.9518 8.9518 8.9518
angles (deg): 94.05 94.05 149.17
Element x y z (fractional)
K 0.3750 0.2057 0.3307
K 0.7943 0.1250 0.1693
K 0.8750 0.0443 0.6693
K 0.9557 0.6250 0.8307
Mo 0.2500 0.7500 0.5000
Mo 0.5000 0.5000 0.0000
Rh 0.0000 0.0000 0.0000
Rh 0.7500 0.2500 0.5000

ΔE to the lowest computed polymorph   503.4 meV per atom
Total magnetization   3.84 μB per formula unit
ΔH_f (0 K)   1123.8 meV per atom

# 8
Material: P2S5
Method: DFT, PBE-GGA
State: relaxed

a b c (Å): 9.8782 9.9590 9.9642
angles (deg): 93.59 108.60 100.02
Element x y z (fractional)
P 0.0740 0.2660 0.3322
P 0.1887 0.0253 0.8411
P 0.2475 0.7026 0.9250
P 0.2522 0.8005 0.5989
P 0.7478 0.1995 0.4011
P 0.7525 0.2974 0.0750
P 0.8113 0.9747 0.1589
P 0.9260 0.7340 0.6678
S 0.0205 0.6213 0.8340
S 0.0249 0.7198 0.5089
S 0.0383 0.0569 0.2491
S 0.2205 0.2150 0.9159
S 0.2801 0.3390 0.4143
S 0.2818 0.9117 0.0073
S 0.2870 0.0095 0.6819
S 0.3320 0.6009 0.0767
S 0.3403 0.7865 0.4536
S 0.3461 0.6882 0.7658
S 0.6539 0.3118 0.2342
S 0.6597 0.2135 0.5464
S 0.6680 0.3991 0.9233
S 0.7130 0.9905 0.3181
S 0.7182 0.0883 0.9927
S 0.7199 0.6610 0.5857
S 0.7795 0.7850 0.0841
S 0.9617 0.9431 0.7509
S 0.9751 0.2802 0.4911
S 0.9795 0.3787 0.1660

Total magnetization   0.00 μB per formula unit
Raw formation energy   -164.0 meV/atom

# 9
Material: Na3LiIn8
Method: DFT, PBE-GGA
State: relaxed

a b c (Å): 7.8877 7.8877 7.8877
angles (deg): 115.65 115.65 97.72
Element x y z (fractional)
Na 0.0000 0.0000 0.0000
Na 0.2500 0.7500 0.5000
Na 0.7500 0.2500 0.5000
Li 0.5000 0.5000 0.0000
In 0.1604 0.4277 0.0000
In 0.2099 0.2099 0.5634
In 0.3535 0.7901 0.0000
In 0.4277 0.1604 0.0000
In 0.5723 0.5723 0.7326
In 0.6465 0.6465 0.4366
In 0.7901 0.3535 0.0000
In 0.8396 0.8396 0.2674

ΔE to the lowest computed polymorph   96.9 meV per atom
Total magnetization   0.00 μB per formula unit
ΔH_f (0 K)   26.9 meV per atom

# 10
Material: Sr2Cu2HgPd5
Method: DFT, PBE-GGA
State: relaxed

a b c (Å): 9.7959 9.7959 3.9593
angles (deg): 90.00 90.00 90.00
Element x y z (fractional)
Sr 0.1793 0.3207 0.0000
Sr 0.3207 0.8207 0.0000
Sr 0.6793 0.1793 0.0000
Sr 0.8207 0.6793 0.0000
Cu 0.1173 0.6173 0.0000
Cu 0.3827 0.1173 0.0000
Cu 0.6173 0.8827 0.0000
Cu 0.8827 0.3827 0.0000
Hg 0.0000 0.0000 0.0000
Hg 0.5000 0.5000 0.0000
Pd 0.0000 0.5000 0.5000
Pd 0.0637 0.7881 0.5000
Pd 0.2119 0.0637 0.5000
Pd 0.2881 0.5637 0.5000
Pd 0.4363 0.2881 0.5000
Pd 0.5000 0.0000 0.5000
Pd 0.5637 0.7119 0.5000
Pd 0.7119 0.4363 0.5000
Pd 0.7881 0.9363 0.5000
Pd 0.9363 0.2119 0.5000

Total magnetization   0.00 μB per formula unit
ΔH_f (0 K)   -414.2 meV per atom

# 11
Material: NdSmGa4
Method: DFT, PBE-GGA
State: relaxed

a b c (Å): 8.0174 8.0174 8.0174
angles (deg): 149.22 149.22 44.09
Element x y z (fractional)
Nd 0.0000 0.0000 0.0000
Sm 0.7500 0.2500 0.5000
Ga 0.1673 0.6673 0.5000
Ga 0.3327 0.8327 0.5000
Ga 0.4166 0.4166 0.0000
Ga 0.5834 0.5834 0.0000

ΔE to the lowest computed polymorph   11.4 meV per atom
Total magnetization   0.00 μB per formula unit
ΔH_f (0 K)   -677.3 meV per atom

# 12
Material: Te7Pt
Method: DFT, PBE-GGA
State: relaxed

a b c (Å): 6.6790 6.6790 6.6790
angles (deg): 60.00 60.00 60.00
Element x y z (fractional)
Te 0.0000 0.0000 0.0000
Te 0.0000 0.0000 0.5000
Te 0.0000 0.5000 0.0000
Te 0.0000 0.5000 0.5000
Te 0.5000 0.0000 0.0000
Te 0.5000 0.0000 0.5000
Te 0.5000 0.5000 0.0000
Pt 0.5000 0.5000 0.5000

Total magnetization   0.00 μB per formula unit
Raw formation energy   530.7 meV/atom

# 13
Material: KSnPO2
Method: DFT, PBE-GGA
State: relaxed

a b c (Å): 4.5246 4.5246 6.0156
angles (deg): 90.00 90.00 90.00
Element x y z (fractional)
K 0.0000 0.0000 0.0000
Sn 0.5000 0.5000 0.5000
P 0.0000 0.0000 0.5000
O 0.0000 0.5000 0.0000
O 0.5000 0.0000 0.0000

ΔE to the lowest computed polymorph   1297.6 meV per atom
Total magnetization   3.63 μB per formula unit
Raw formation energy   848.2 meV/atom

# 14
Material: LaY2Si
Method: DFT, PBE-GGA
State: relaxed

a b c (Å): 9.9736 9.9736 9.9736
angles (deg): 22.13 22.13 22.13
Element x y z (fractional)
La 0.0000 0.0000 0.0000
Y 0.2278 0.2278 0.2278
Y 0.7722 0.7722 0.7722
Si 0.5000 0.5000 0.5000

Total magnetization   0.00 μB per formula unit
Raw formation energy   -192.4 meV/atom

# 15
Material: MoPdN2
Method: DFT, PBE-GGA
State: relaxed

a b c (Å): 5.7886 5.7886 5.7886
angles (deg): 131.35 131.35 71.26
Element x y z (fractional)
Mo 0.0000 0.0000 0.0000
Mo 0.7500 0.2500 0.5000
Pd 0.2500 0.7500 0.5000
Pd 0.5000 0.5000 0.0000
N 0.0717 0.6250 0.9467
N 0.3750 0.3217 0.4467
N 0.6783 0.1250 0.0533
N 0.8750 0.9283 0.5533

ΔE to the lowest computed polymorph   21.8 meV per atom
Total magnetization   0.00 μB per formula unit
Raw formation energy   59.9 meV/atom

# 16
Material: Ce3Ag4Sn2
Method: DFT, PBE-GGA
State: relaxed

a b c (Å): 6.0343 6.0343 9.2382
angles (deg): 115.82 115.82 47.69
Element x y z (fractional)
Ce 0.0000 0.0000 0.0000
Ce 0.3385 0.3385 0.3268
Ce 0.6615 0.6615 0.6732
Ag 0.0784 0.0784 0.4160
Ag 0.2919 0.2919 0.9617
Ag 0.7081 0.7081 0.0383
Ag 0.9216 0.9216 0.5840
Sn 0.3839 0.3839 0.7189
Sn 0.6161 0.6161 0.2811

Total magnetization   2.78 μB per formula unit
ΔH_f (0 K)   -362.3 meV per atom

# 17
Material: HfCoNiP
Method: DFT, PBE-GGA
State: relaxed

a b c (Å): 4.1664 4.1664 4.6456
angles (deg): 112.46 112.46 49.48
Element x y z (fractional)
Hf 0.0000 0.0000 0.0000
Co 0.7870 0.7870 0.3082
Ni 0.5758 0.5758 0.6166
P 0.2611 0.2611 0.5912

ΔE to the lowest computed polymorph   93.4 meV per atom
Total magnetization   0.00 μB per formula unit
ΔH_f (0 K)   -577.3 meV per atom

# 18
Material: CaPbBr
Method: DFT, PBE-GGA
State: relaxed

a b c (Å): 5.3755 5.3755 5.3755
angles (deg): 60.00 60.00 60.00
Element x y z (fractional)
Ca 0.0000 0.0000 0.0000
Pb 0.2500 0.2500 0.2500
Br 0.7500 0.7500 0.7500

ΔE to the lowest computed polymorph   618.6 meV per atom
Total magnetization   1.72 μB per formula unit
Raw formation energy   -332.9 meV/atom

# 19
Material: NaZnBi
Method: DFT, PBE-GGA
State: relaxed

a b c (Å): 5.9329 5.9329 5.9329
angles (deg): 142.00 142.00 54.83
Element x y z (fractional)
Na 0.0000 0.0000 0.0000
Zn 0.3210 0.3210 0.0000
Bi 0.6932 0.6932 0.0000

Total magnetization   0.00 μB per formula unit
ΔH_f (0 K)   -8.1 meV per atom

# 20
Material: Tm4Te3As
Method: DFT, PBE-GGA
State: relaxed

a b c (Å): 7.3938 7.3938 4.2082
angles (deg): 90.00 90.00 109.00
Element x y z (fractional)
Tm 0.2200 0.2200 0.5000
Tm 0.2316 0.7684 0.0000
Tm 0.7684 0.2316 0.0000
Tm 0.7800 0.7800 0.5000
Te 0.0000 0.5000 0.5000
Te 0.5000 0.0000 0.5000
Te 0.5000 0.5000 0.0000
As 0.0000 0.0000 0.0000

Total magnetization   0.00 μB per formula unit
Raw formation energy   -1306.1 meV/atom

# 21
Material: CuPSCl2
Method: DFT, PBE-GGA
State: relaxed

a b c (Å): 4.4136 4.4136 5.0932
angles (deg): 90.00 90.00 90.00
Element x y z (fractional)
Cu 0.0000 0.0000 0.0000
P 0.0000 0.0000 0.5000
S 0.5000 0.5000 0.5000
Cl 0.0000 0.5000 0.0000
Cl 0.5000 0.0000 0.0000

ΔE to the lowest computed polymorph   255.6 meV per atom
Total magnetization   0.33 μB per formula unit
Raw formation energy   605.5 meV/atom

# 22
Material: Mg3TlBi2
Method: DFT, PBE-GGA
State: relaxed

a b c (Å): 10.1626 10.1626 11.5135
angles (deg): 103.28 103.28 27.52
Element x y z (fractional)
Mg 0.0000 0.0000 0.0000
Mg 0.1161 0.1161 0.6939
Mg 0.1714 0.1714 0.4477
Mg 0.2873 0.2873 0.1231
Mg 0.4637 0.4637 0.1357
Mg 0.5363 0.5363 0.8643
Mg 0.7127 0.7127 0.8769
Mg 0.8286 0.8286 0.5523
Mg 0.8839 0.8839 0.3061
Tl 0.3563 0.3563 0.8078
Tl 0.5000 0.5000 0.5000
Tl 0.6437 0.6437 0.1922
Bi 0.0316 0.0316 0.2850
Bi 0.1473 0.1473 0.9647
Bi 0.3101 0.3101 0.3867
Bi 0.6899 0.6899 0.6133
Bi 0.8527 0.8527 0.0353
Bi 0.9684 0.9684 0.7150

Total magnetization   0.00 μB per formula unit
ΔH_f (0 K)   -130.0 meV per atom

# 23
Material: ReSiNiN2
Method: DFT, PBE-GGA
State: relaxed

a b c (Å): 3.7693 3.7693 5.2391
angles (deg): 90.00 90.00 90.00
Element x y z (fractional)
Re 0.0000 0.0000 0.0000
Si 0.0000 0.0000 0.5000
Ni 0.5000 0.5000 0.5000
N 0.0000 0.5000 0.0000
N 0.5000 0.0000 0.0000

Total magnetization   1.07 μB per formula unit
Raw formation energy   845.5 meV/atom

# 24
Material: CsSc2Mo
Method: DFT, PBE-GGA
State: relaxed

a b c (Å): 7.7643 7.7643 7.7643
angles (deg): 120.18 120.18 89.69
Element x y z (fractional)
Cs 0.3750 0.6250 0.7500
Cs 0.6250 0.3750 0.2500
Sc 0.0000 0.0000 0.0000
Sc 0.0000 0.0000 0.5000
Sc 0.0000 0.5000 0.0000
Sc 0.5000 0.0000 0.5000
Mo 0.1250 0.8750 0.2500
Mo 0.8750 0.1250 0.7500

ΔE to the lowest computed polymorph   427.9 meV per atom
Total magnetization   1.00 μB per formula unit
ΔH_f (0 K)   991.6 meV per atom